This record from the Open Quantum Materials Database describes an optimized crystal structure of HfTa2Be9. The functional is PBE.

Properties
E_tot: -5.8575 eV per atom
ρ: 7.948 g/cm3
Symmetry: No. 166
Calculated volume: 130 Å³ per cell

The structure in CIF format:
```
data_HfTa2Be9
_space_group_name_H-M_alt 'P 1'
_space_group_IT_number 1
_space_group_name_Hall 'P 1'
_cell_length_a 7.587
_cell_length_b 7.587
_cell_length_c 7.587
_cell_angle_alpha 35.24
_cell_angle_beta 35.24
_cell_angle_gamma 35.24
loop_
_atom_site_label
_atom_site_fract_x
_atom_site_fract_y
_atom_site_fract_z
_atom_site_occupancy
Be1 0.076 0.586 0.586 1
Be2 0.586 0.586 0.076 1
Be3 0.586 0.076 0.586 1
Be4 0.665 0.665 0.665 1
Ta1 0.858 0.858 0.858 1
Ta2 0.142 0.142 0.142 1
Be5 0.924 0.414 0.414 1
Be6 0.335 0.335 0.335 1
Hf1 0.000 0.000 0.000 1
Be7 0.414 0.924 0.414 1
Be8 0.414 0.414 0.924 1
Be9 0.500 0.500 0.500 1
```